--- a ---
{
  "formula": "CrMoO2",
  "functional": "GGA+U",
  "state": "relaxed",
  "sg": "Fm-3m (225)",
  "lattice": [[0.000, 2.756, 2.756], [2.756, 0.000, 2.756], [2.756, 2.756, 0.000]],
  "species": ["Cr", "Mo", "O", "O"],
  "fractional_positions": [[0.000, 0.000, 0.000], [0.500, 0.500, 0.500], [0.250, 0.250, 0.250], [0.750, 0.750, 0.750]]
}

---

--- b ---
{
  "formula": "CrMoO2",
  "functional": "GGA+U",
  "state": "relaxed",
  "sg": "I-42d (122)",
  "lattice": [[-2.417, 2.417, 4.648], [2.417, -2.417, 4.648], [2.417, 2.417, -4.648]],
  "species": ["Cr", "Cr", "Mo", "Mo", "O", "O", "O", "O"],
  "fractional_positions": [[0.000, 0.000, 0.000], [0.750, 0.250, 0.500], [0.250, 0.750, 0.500], [0.500, 0.500, 0.000], [0.108, 0.625, 0.983], [0.375, 0.358, 0.483], [0.642, 0.125, 0.017], [0.875, 0.892, 0.517]]
}

---

--- c ---
{
  "formula": "CrMoO2",
  "functional": "GGA+U",
  "state": "relaxed",
  "sg": "R-3m (166)",
  "lattice": [[1.606, 0.927, 6.188], [-1.606, 0.927, 6.188], [0.000, -1.855, 6.188]],
  "species": ["Cr", "Mo", "O", "O"],
  "fractional_positions": [[0.000, 0.000, 0.000], [0.500, 0.500, 0.500], [0.107, 0.107, 0.107], [0.893, 0.893, 0.893]]
}

---

Verdict on stability: c comes out on top.

---

--- a ---
{
  "formula": "Cr3MoO",
  "functional": "GGA+U",
  "state": "relaxed",
  "sg": "Pm-3m (221)",
  "lattice": [[5.005, 0.000, 0.000], [0.000, 5.005, 0.000], [0.000, 0.000, 5.005]],
  "species": ["Cr", "Cr", "Cr", "Mo", "O"],
  "fractional_positions": [[0.000, 0.000, 0.500], [0.000, 0.500, 0.000], [0.500, 0.000, 0.000], [0.000, 0.000, 0.000], [0.500, 0.500, 0.500]]
}

---

--- b ---
{
  "formula": "Cr3MoO",
  "functional": "GGA+U",
  "state": "relaxed",
  "sg": "Pm-3m (221)",
  "lattice": [[4.302, 0.000, 0.000], [0.000, 4.302, 0.000], [0.000, 0.000, 4.302]],
  "species": ["Cr", "Cr", "Cr", "Mo", "O"],
  "fractional_positions": [[0.000, 0.000, 0.500], [0.000, 0.500, 0.000], [0.500, 0.000, 0.000], [0.500, 0.500, 0.500], [0.000, 0.000, 0.000]]
}

---

Verdict on stability: b comes out on top.